i.
DFT (PBE-GGA) results for a relaxed structure of LaPu2Si2.

```
data_LaPu2Si2
_cell_length_a 4.1072
_cell_length_b 5.2881
_cell_length_c 11.7489
_cell_angle_alpha 93.15
_cell_angle_beta 90.00
_cell_angle_gamma 90.00
_symmetry_space_group_name_H-M 'P 1'
_symmetry_Int_Tables_number 1
_symmetry_space_group_name_Hall 'P 1'
loop_
_atom_site_label
_atom_site_type_symbol
_atom_site_fract_x
_atom_site_fract_y
_atom_site_fract_z
Si1 Si 0.7500 0.6145 0.0214
Si2 Si 0.7500 0.2485 0.3421
Si3 Si 0.2500 0.3855 0.9786
Si4 Si 0.2500 0.7515 0.6579
La1 La 0.7500 0.3381 0.7660
La2 La 0.2500 0.6619 0.2340
Pu1 Pu 0.7500 0.7580 0.4859
Pu2 Pu 0.2500 0.8797 0.8949
Pu3 Pu 0.7500 0.1203 0.1051
Pu4 Pu 0.2500 0.2420 0.5141
```

Computed properties:
space-group type: P2_1/m

ii.
DFT (PBE-GGA) results for a relaxed structure of LaPu2Si2.

```
data_LaPu2Si2
_cell_length_a 3.9800
_cell_length_b 6.9970
_cell_length_c 8.6919
_cell_angle_alpha 90.00
_cell_angle_beta 90.00
_cell_angle_gamma 106.52
_symmetry_space_group_name_H-M 'P 1'
_symmetry_Int_Tables_number 1
_symmetry_space_group_name_Hall 'P 1'
loop_
_atom_site_label
_atom_site_type_symbol
_atom_site_fract_x
_atom_site_fract_y
_atom_site_fract_z
Pu1 Pu 0.8657 0.7314 0.7433
Pu2 Pu 0.1343 0.2686 0.2433
Pu3 Pu 0.3222 0.6444 0.9200
Pu4 Pu 0.6778 0.3556 0.4200
La1 La 0.5916 0.1832 0.8444
La2 La 0.4084 0.8168 0.3444
Si1 Si 0.2227 0.4453 0.6436
Si2 Si 0.9582 0.9165 0.0530
Si3 Si 0.0418 0.0835 0.5530
Si4 Si 0.7773 0.5547 0.1436
```

Computed properties:
space-group type: Cmc2_1

Most stable: ii. Least stable: i.

i.
DFT (PBE-GGA) results for a relaxed structure of LaPuSi.

```
data_LaPuSi
_cell_length_a 3.7637
_cell_length_b 4.8128
_cell_length_c 4.8128
_cell_angle_alpha 120.00
_cell_angle_beta 90.00
_cell_angle_gamma 90.00
_symmetry_space_group_name_H-M 'P 1'
_symmetry_Int_Tables_number 1
_symmetry_space_group_name_Hall 'P 1'
loop_
_atom_site_label
_atom_site_type_symbol
_atom_site_fract_x
_atom_site_fract_y
_atom_site_fract_z
Pu1 Pu 0.2831 0.6667 0.3333
La1 La 0.6718 0.3333 0.6667
Si1 Si 0.0450 0.0000 0.0000
```

Computed properties:
space-group type: P3m1

ii.
DFT (PBE-GGA) results for a relaxed structure of LaPuSi.

```
data_LaPuSi
_cell_length_a 4.5142
_cell_length_b 7.7353
_cell_length_c 7.7354
_cell_angle_alpha 120.00
_cell_angle_beta 90.00
_cell_angle_gamma 90.00
_symmetry_space_group_name_H-M 'P 1'
_symmetry_Int_Tables_number 1
_symmetry_space_group_name_Hall 'P 1'
loop_
_atom_site_label
_atom_site_type_symbol
_atom_site_fract_x
_atom_site_fract_y
_atom_site_fract_z
Pu1 Pu 0.0000 0.0000 0.2462
Pu2 Pu 0.0000 0.2462 0.0000
Pu3 Pu 0.0000 0.7538 0.7538
La1 La 0.5000 0.5746 0.0000
La2 La 0.5000 0.4254 0.4254
La3 La 0.5000 0.0000 0.5746
Si1 Si 0.5000 0.0000 0.0000
Si2 Si 0.0000 0.6667 0.3333
Si3 Si 0.0000 0.3333 0.6667
```

Computed properties:
space-group type: P-62m

Most stable: ii. Least stable: i.

i.
DFT (PBE-GGA) results for a relaxed structure of LaPuSi4.

```
data_LaPuSi4
_cell_length_a 5.3898
_cell_length_b 5.3898
_cell_length_c 5.3898
_cell_angle_alpha 60.00
_cell_angle_beta 60.00
_cell_angle_gamma 60.00
_symmetry_space_group_name_H-M 'P 1'
_symmetry_Int_Tables_number 1
_symmetry_space_group_name_Hall 'P 1'
loop_
_atom_site_label
_atom_site_type_symbol
_atom_site_fract_x
_atom_site_fract_y
_atom_site_fract_z
Si1 Si 0.1320 0.6227 0.6227
Si2 Si 0.6227 0.6227 0.1320
Si3 Si 0.6227 0.6227 0.6227
Si4 Si 0.6227 0.1320 0.6227
La1 La 0.0000 0.0000 0.0000
Pu1 Pu 0.2500 0.2500 0.2500
```

Computed properties:
space-group type: F-43m

ii.
DFT (PBE-GGA) results for a relaxed structure of LaPuSi4.

```
data_LaPuSi4
_cell_length_a 4.1540
_cell_length_b 4.0654
_cell_length_c 7.1352
_cell_angle_alpha 90.00
_cell_angle_beta 90.00
_cell_angle_gamma 90.00
_symmetry_space_group_name_H-M 'P 1'
_symmetry_Int_Tables_number 1
_symmetry_space_group_name_Hall 'P 1'
loop_
_atom_site_label
_atom_site_type_symbol
_atom_site_fract_x
_atom_site_fract_y
_atom_site_fract_z
Si1 Si 0.0000 0.5000 0.3387
Si2 Si 0.0000 0.5000 0.6613
Si3 Si 0.0000 0.0000 0.1720
Si4 Si 0.0000 0.0000 0.8280
Pu1 Pu 0.5000 0.0000 0.5000
La1 La 0.5000 0.5000 0.0000
```

Computed properties:
space-group type: Pmmm

Most stable: ii. Least stable: i.

i.
DFT (PBE-GGA) results for a relaxed structure of LaPuSn.

```
data_LaPuSn
_cell_length_a 5.6210
_cell_length_b 5.6210
_cell_length_c 6.5401
_cell_angle_alpha 90.00
_cell_angle_beta 90.00
_cell_angle_gamma 120.00
_symmetry_space_group_name_H-M 'P 1'
_symmetry_Int_Tables_number 1
_symmetry_space_group_name_Hall 'P 1'
loop_
_atom_site_label
_atom_site_type_symbol
_atom_site_fract_x
_atom_site_fract_y
_atom_site_fract_z
Pu1 Pu 0.0000 0.5000 0.0000
Pu2 Pu 0.0000 0.5000 0.5000
La1 La 0.3332 0.1668 0.7500
La2 La 0.6668 0.8332 0.2500
Sn1 Sn 0.3334 0.1666 0.2500
Sn2 Sn 0.6666 0.8334 0.7500
```

Computed properties:
space-group type: P6_3/mmc

ii.
DFT (PBE-GGA) results for a relaxed structure of LaPuSn.

```
data_LaPuSn
_cell_length_a 5.3483
_cell_length_b 5.3483
_cell_length_c 6.7394
_cell_angle_alpha 90.00
_cell_angle_beta 90.00
_cell_angle_gamma 120.00
_symmetry_space_group_name_H-M 'P 1'
_symmetry_Int_Tables_number 1
_symmetry_space_group_name_Hall 'P 1'
loop_
_atom_site_label
_atom_site_type_symbol
_atom_site_fract_x
_atom_site_fract_y
_atom_site_fract_z
Sn1 Sn 0.0000 0.0000 0.5000
Sn2 Sn 0.0000 0.0000 0.0000
La1 La 0.6668 0.3332 0.7500
La2 La 0.3332 0.6668 0.2500
Pu1 Pu 0.3335 0.6665 0.7500
Pu2 Pu 0.6665 0.3335 0.2500
```

Computed properties:
space-group type: P6_3/mmc

Most stable: i. Least stable: ii.

i.
DFT (PBE-GGA) results for a relaxed structure of La2PuSn.

```
data_La2PuSn
_cell_length_a 4.7913
_cell_length_b 5.0150
_cell_length_c 5.0150
_cell_angle_alpha 90.00
_cell_angle_beta 90.00
_cell_angle_gamma 90.00
_symmetry_space_group_name_H-M 'P 1'
_symmetry_Int_Tables_number 1
_symmetry_space_group_name_Hall 'P 1'
loop_
_atom_site_label
_atom_site_type_symbol
_atom_site_fract_x
_atom_site_fract_y
_atom_site_fract_z
Sn1 Sn 0.5000 0.5000 0.5000
Pu1 Pu 0.5000 0.0000 0.0000
La1 La 0.0000 0.0000 0.5000
La2 La 0.0000 0.5000 0.0000
```

Computed properties:
space-group type: P4/mmm

ii.
DFT (PBE-GGA) results for a relaxed structure of La2PuSn.

```
data_La2PuSn
_cell_length_a 4.1859
_cell_length_b 4.1859
_cell_length_c 7.0757
_cell_angle_alpha 90.00
_cell_angle_beta 90.00
_cell_angle_gamma 90.00
_symmetry_space_group_name_H-M 'P 1'
_symmetry_Int_Tables_number 1
_symmetry_space_group_name_Hall 'P 1'
loop_
_atom_site_label
_atom_site_type_symbol
_atom_site_fract_x
_atom_site_fract_y
_atom_site_fract_z
La1 La 0.0000 0.0000 0.2684
La2 La 0.0000 0.0000 0.7316
Pu1 Pu 0.5000 0.5000 0.0000
Sn1 Sn 0.5000 0.5000 0.5000
```

Computed properties:
space-group type: P4/mmm

Most stable: i. Least stable: ii.

i.
DFT (PBE-GGA) results for a relaxed structure of LaTbPu.

```
data_LaTbPu
_cell_length_a 3.5845
_cell_length_b 3.5845
_cell_length_c 8.6459
_cell_angle_alpha 90.00
_cell_angle_beta 90.00
_cell_angle_gamma 120.00
_symmetry_space_group_name_H-M 'P 1'
_symmetry_Int_Tables_number 1
_symmetry_space_group_name_Hall 'P 1'
loop_
_atom_site_label
_atom_site_type_symbol
_atom_site_fract_x
_atom_site_fract_y
_atom_site_fract_z
Tb1 Tb 0.6667 0.3333 0.3423
Pu1 Pu 0.3333 0.6667 0.6638
La1 La 0.0000 0.0000 0.9939
```

Computed properties:
space-group type: P3m1

ii.
DFT (PBE-GGA) results for a relaxed structure of LaTbPu.

```
data_LaTbPu
_cell_length_a 3.5680
_cell_length_b 3.5680
_cell_length_c 7.9383
_cell_angle_alpha 102.99
_cell_angle_beta 102.99
_cell_angle_gamma 90.00
_symmetry_space_group_name_H-M 'P 1'
_symmetry_Int_Tables_number 1
_symmetry_space_group_name_Hall 'P 1'
loop_
_atom_site_label
_atom_site_type_symbol
_atom_site_fract_x
_atom_site_fract_y
_atom_site_fract_z
La1 La 0.2867 0.2867 0.5734
Pu1 Pu 0.9523 0.9523 0.9045
Tb1 Tb 0.6110 0.6110 0.2221
```

Computed properties:
space-group type: I4mm

Most stable: ii. Least stable: i.